[1]
A relaxed structure of Pm6SmTmSc2, computed with PBE.

Computed properties:
Symmetry: C2/c, No. 15
Final energy, eV/atom: -4.911
Formation enthalpy at 0 K, meV/atom: 125

Unit cell a=9.5085 b=8.7548 c=8.7548 alpha=117.19 beta=93.92 gamma=93.92
Last column: nearest neighbours and their distance in Å.
Atoms (fractional coordinates):
1 Sm 0.2500 0.9695 0.0305  4 Sc 3.37-3.42, 6 Pm 3.54-3.71
2 Sc 0.4496 0.7992 0.7011  6 Pm 3.23-3.59, 2 Sm 3.37-3.42, 1 Tm 3.47
3 Pm 0.3831 0.5095 0.2993  3 Sc 3.23-3.40, 3 Pm 3.26-3.40, 2 Tm 3.35-3.49
4 Sc 0.5504 0.2008 0.2989  6 Pm 3.23-3.59, 2 Sm 3.37-3.42, 1 Tm 3.47
5 Pm 0.3176 0.9912 0.4428  3 Pm 3.27-3.57, 1 Tm 3.40, 2 Sc 3.43-3.59, 1 Sm 3.54
6 Pm 0.8176 0.4428 0.9912  3 Pm 3.27-3.57, 1 Tm 3.40, 2 Sc 3.43-3.59, 1 Sm 3.54
7 Pm 0.1824 0.5572 0.0088  3 Pm 3.27-3.57, 1 Tm 3.40, 2 Sc 3.43-3.59, 1 Sm 3.54
8 Pm 0.0535 0.1108 0.7618  7 Pm 3.40-3.77, 1 Sc 3.42, 2 Sm 3.60-3.71
9 Pm 0.4465 0.2382 0.8892  7 Pm 3.40-3.77, 1 Sc 3.42, 2 Sm 3.60-3.71
10 Sm 0.7500 0.0305 0.9695  4 Sc 3.37-3.42, 6 Pm 3.54-3.71
11 Pm 0.8831 0.2993 0.5095  3 Sc 3.23-3.40, 3 Pm 3.26-3.40, 2 Tm 3.35-3.49
12 Pm 0.5535 0.7618 0.1108  7 Pm 3.40-3.77, 1 Sc 3.42, 2 Sm 3.60-3.71
13 Pm 0.6169 0.4905 0.7007  3 Sc 3.23-3.40, 3 Pm 3.26-3.40, 2 Tm 3.35-3.49
14 Sc 0.9496 0.7011 0.7992  6 Pm 3.23-3.59, 2 Sm 3.37-3.42, 1 Tm 3.47
15 Pm 0.9465 0.8892 0.2382  7 Pm 3.40-3.77, 1 Sc 3.42, 2 Sm 3.60-3.71
16 Pm 0.6824 0.0088 0.5572  3 Pm 3.27-3.57, 1 Tm 3.40, 2 Sc 3.43-3.59, 1 Sm 3.54
17 Pm 0.1169 0.7007 0.4905  3 Sc 3.23-3.40, 3 Pm 3.26-3.40, 2 Tm 3.35-3.49
18 Tm 0.7500 0.5907 0.4093  6 Pm 3.35-3.49, 2 Sc 3.47
19 Tm 0.2500 0.4093 0.5907  6 Pm 3.35-3.49, 2 Sc 3.47
20 Sc 0.0504 0.2989 0.2008  6 Pm 3.23-3.59, 2 Sm 3.37-3.42, 1 Tm 3.47

[2]
A relaxed structure of PmSm2Tm2Sc2, computed with PBE.

Computed properties:
Symmetry: C2/m, No. 12
Final energy, eV/atom: -4.934
Formation enthalpy at 0 K, meV/atom: 179

Unit cell a=3.3848 b=8.7979 c=8.2980 alpha=116.58 beta=90.00 gamma=101.09
Last column: nearest neighbours and their distance in Å.
Atoms (fractional coordinates):
1 Sc 0.6533 0.3065 0.3966  3 Tm 3.32-3.40, 4 Sc 3.38-3.43, 2 Sm 3.56-3.58, 2 Pm 3.56
2 Pm 0.0000 0.0000 0.5000  2 Tm 3.36, 2 Pm 3.38, 4 Sm 3.51, 4 Sc 3.56
3 Sm 0.4278 0.8557 0.0852  3 Sm 3.38, 3 Tm 3.38-3.48, 2 Pm 3.51, 2 Sc 3.56-3.58
4 Tm 0.7869 0.5739 0.2087  3 Sc 3.32-3.40, 1 Pm 3.36, 3 Sm 3.38-3.48, 4 Tm 3.38-3.53
5 Sc 0.3467 0.6935 0.6034  3 Tm 3.32-3.40, 4 Sc 3.38-3.43, 2 Sm 3.56-3.58, 2 Pm 3.56
6 Sm 0.5722 0.1443 0.9148  3 Sm 3.38, 3 Tm 3.38-3.48, 2 Pm 3.51, 2 Sc 3.56-3.58
7 Tm 0.2131 0.4261 0.7913  3 Sc 3.32-3.40, 1 Pm 3.36, 3 Sm 3.38-3.48, 4 Tm 3.38-3.53

[3]
A relaxed structure of PmSm3Tm6Sc2, computed with PBE.

Computed properties:
Symmetry: C2/m, No. 12
Final energy, eV/atom: -4.827
Formation enthalpy at 0 K, meV/atom: 40

Unit cell a=6.0629 b=6.0629 c=11.5787 alpha=95.00 beta=95.00 gamma=119.98
Last column: nearest neighbours and their distance in Å.
Atoms (fractional coordinates):
1 Sm 0.1671 0.8329 0.5000  6 Sm 3.50-3.51, 6 Tm 3.54-3.55
2 Tm 0.2542 0.2542 0.7558  2 Sc 3.44, 1 Pm 3.45, 6 Tm 3.49-3.53, 3 Sm 3.54-3.55
3 Sc 0.6668 0.3332 0.0000  6 Tm 3.43-3.44, 3 Pm 3.50, 3 Sc 3.50
4 Sm 0.8329 0.1671 0.5000  6 Sm 3.50-3.51, 6 Tm 3.54-3.55
5 Tm 0.0819 0.4176 0.2442  2 Sc 3.43-3.44, 1 Pm 3.45, 6 Tm 3.49-3.53, 3 Sm 3.54-3.55
6 Tm 0.4176 0.0819 0.2442  2 Sc 3.43-3.44, 1 Pm 3.45, 6 Tm 3.49-3.53, 3 Sm 3.54-3.55
7 Tm 0.7458 0.7458 0.2442  2 Sc 3.44, 1 Pm 3.45, 6 Tm 3.49-3.53, 3 Sm 3.54-3.55
8 Tm 0.5824 0.9181 0.7558  2 Sc 3.43-3.44, 1 Pm 3.45, 6 Tm 3.49-3.53, 3 Sm 3.54-3.55
9 Sc 0.3332 0.6668 0.0000  6 Tm 3.43-3.44, 3 Pm 3.50, 3 Sc 3.50
10 Sm 0.5000 0.5000 0.5000  6 Sm 3.50, 6 Tm 3.54-3.55
11 Tm 0.9181 0.5824 0.7558  2 Sc 3.43-3.44, 1 Pm 3.45, 6 Tm 3.49-3.53, 3 Sm 3.54-3.55
12 Pm 0.0000 0.0000 0.0000  6 Tm 3.45, 6 Sc 3.50

[4]
A relaxed structure of PmSm2Tm5Sc, computed with PBE.

Computed properties:
Symmetry: Cmc2_1, No. 36
Final energy, eV/atom: -4.600
Formation enthalpy at 0 K, meV/atom: 164

Unit cell a=5.5382 b=10.1752 c=10.3645 alpha=90.00 beta=90.00 gamma=105.79
Last column: nearest neighbours and their distance in Å.
Atoms (fractional coordinates):
1 Sm 0.8856 0.7711 0.2334  1 Sc 3.33, 7 Tm 3.41-3.61, 2 Pm 3.65
2 Pm 0.4135 0.8271 0.4564  5 Tm 3.01-3.21
3 Tm 0.2771 0.5541 0.3222  1 Pm 3.01, 1 Sm 3.24, 2 Tm 3.36
4 Sm 0.8883 0.7766 0.8149  9 Tm 3.24-3.56, 1 Sc 3.54
5 Tm 0.5187 0.0373 0.2383  2 Pm 3.06-3.21, 2 Sm 3.41
6 Tm 0.0180 0.0361 0.0206  2 Pm 3.15, 3 Sm 3.32-3.52, 1 Sc 3.51
7 Sm 0.1117 0.2234 0.3149  9 Tm 3.24-3.56, 1 Sc 3.54
8 Tm 0.7229 0.4459 0.8222  1 Pm 3.01, 1 Sm 3.24, 2 Tm 3.36
9 Pm 0.5865 0.1729 0.9564  5 Tm 3.01-3.21
10 Tm 0.4813 0.9627 0.7383  2 Pm 3.06-3.21, 2 Sm 3.41
11 Sc 0.1974 0.3947 0.0141  2 Sm 3.33-3.54, 7 Tm 3.40-3.55, 2 Pm 3.57
12 Sc 0.8026 0.6053 0.5141  2 Sm 3.33-3.54, 7 Tm 3.40-3.55, 2 Pm 3.57
13 Sm 0.1144 0.2289 0.7334  1 Sc 3.33, 7 Tm 3.41-3.61, 2 Pm 3.65
14 Tm 0.7021 0.4042 0.2049  4 Tm 3.36-3.61, 3 Sc 3.40-3.76, 1 Pm 3.43, 3 Sm 3.48-3.60
15 Tm 0.6231 0.2462 0.5191  4 Sm 3.49-3.55, 1 Sc 3.52, 4 Tm 3.56-3.70
16 Tm 0.9820 0.9639 0.5206  2 Pm 3.15, 3 Sm 3.32-3.52, 1 Sc 3.51
17 Tm 0.3769 0.7538 0.0191  4 Sm 3.49-3.55, 1 Sc 3.52, 4 Tm 3.56-3.70
18 Tm 0.2979 0.5958 0.7049  4 Tm 3.36-3.61, 3 Sc 3.40-3.76, 1 Pm 3.43, 3 Sm 3.48-3.60

[5]
A relaxed structure of PmSm2TmSc, computed with PBE.

Computed properties:
Symmetry: Cmcm, No. 63
Final energy, eV/atom: -4.645
Formation enthalpy at 0 K, meV/atom: 353

Unit cell a=7.1469 b=8.2110 c=6.9969 alpha=125.93 beta=90.00 gamma=90.00
Last column: nearest neighbours and their distance in Å.
Atoms (fractional coordinates):
1 Sc 0.7500 0.0083 0.0167  1 Pm 2.98, 4 Sm 3.05, 1 Tm 3.07
2 Sm 0.5000 0.3012 0.0000  2 Sc 3.05, 1 Sm 3.26
3 Pm 0.2500 0.7287 0.4574  1 Sc 2.98
4 Pm 0.7500 0.2713 0.5426  1 Sc 2.98
5 Tm 0.7500 0.7377 0.4754  1 Sc 3.07
6 Sm 0.0000 0.3012 0.0000  2 Sc 3.05, 1 Sm 3.26
7 Tm 0.2500 0.2623 0.5246  1 Sc 3.07
8 Sm 0.5000 0.6988 0.0000  2 Sc 3.05, 1 Sm 3.26
9 Sm 0.0000 0.6988 0.0000  2 Sc 3.05, 1 Sm 3.26
10 Sc 0.2500 0.9917 0.9833  1 Pm 2.98, 4 Sm 3.05, 1 Tm 3.07

[6]
A relaxed structure of Pm6Sm2Tm3Sc, computed with PBE.

Computed properties:
Symmetry: C2/m, No. 12
Final energy, eV/atom: -4.782
Formation enthalpy at 0 K, meV/atom: 26

Unit cell a=6.2047 b=6.2047 c=11.7608 alpha=95.04 beta=95.04 gamma=120.00
Last column: nearest neighbours and their distance in Å.
Atoms (fractional coordinates):
1 Sc 0.0000 0.0000 0.0000  6 Pm 3.55-3.56, 6 Sm 3.58
2 Sm 0.3333 0.6667 0.0000  6 Pm 3.57, 3 Sm 3.58, 3 Sc 3.58
3 Tm 0.5000 0.5000 0.5000  6 Pm 3.54-3.55, 6 Tm 3.58-3.59
4 Sm 0.6667 0.3333 0.0000  6 Pm 3.57, 3 Sm 3.58, 3 Sc 3.58
5 Pm 0.0831 0.4131 0.2508  3 Tm 3.54-3.56, 6 Pm 3.55-3.60, 1 Sc 3.55, 2 Sm 3.57
6 Pm 0.2473 0.2473 0.7487  3 Tm 3.54-3.55, 6 Pm 3.55-3.60, 1 Sc 3.56, 2 Sm 3.57
7 Pm 0.4131 0.0831 0.2508  3 Tm 3.54-3.56, 6 Pm 3.55-3.60, 1 Sc 3.55, 2 Sm 3.57
8 Pm 0.7527 0.7527 0.2513  3 Tm 3.54-3.55, 6 Pm 3.55-3.60, 1 Sc 3.56, 2 Sm 3.57
9 Pm 0.9169 0.5869 0.7492  3 Tm 3.54-3.56, 6 Pm 3.55-3.60, 1 Sc 3.55, 2 Sm 3.57
10 Tm 0.8336 0.1664 0.5000  6 Pm 3.54-3.56, 6 Tm 3.58-3.59
11 Tm 0.1664 0.8336 0.5000  6 Pm 3.54-3.56, 6 Tm 3.58-3.59
12 Pm 0.5869 0.9169 0.7492  3 Tm 3.54-3.56, 6 Pm 3.55-3.60, 1 Sc 3.55, 2 Sm 3.57

[7]
A relaxed structure of Pm6Sm3Tm2Sc, computed with PBE.

Computed properties:
Symmetry: C2/m, No. 12
Final energy, eV/atom: -4.800
Formation enthalpy at 0 K, meV/atom: 28

Unit cell a=6.2305 b=6.2305 c=11.8015 alpha=95.04 beta=95.04 gamma=120.00
Last column: nearest neighbours and their distance in Å.
Atoms (fractional coordinates):
1 Sm 0.1667 0.8333 0.5000  6 Sm 3.60, 6 Pm 3.62-3.64
2 Pm 0.7503 0.7503 0.2440  1 Sc 3.50, 2 Tm 3.52, 6 Pm 3.57-3.61, 3 Sm 3.62-3.64
3 Pm 0.5882 0.9189 0.7564  1 Sc 3.50, 2 Tm 3.52, 6 Pm 3.57-3.61, 3 Sm 3.63-3.64
4 Pm 0.9189 0.5882 0.7564  1 Sc 3.50, 2 Tm 3.52, 6 Pm 3.57-3.61, 3 Sm 3.63-3.64
5 Tm 0.6666 0.3334 0.0000  6 Pm 3.52, 3 Tm 3.60, 3 Sc 3.60
6 Sm 0.8333 0.1667 0.5000  6 Sm 3.60, 6 Pm 3.62-3.64
7 Pm 0.2497 0.2497 0.7560  1 Sc 3.50, 2 Tm 3.52, 6 Pm 3.57-3.61, 3 Sm 3.62-3.64
8 Sc 0.0000 0.0000 0.0000  6 Pm 3.50, 6 Tm 3.60
9 Pm 0.4118 0.0811 0.2436  1 Sc 3.50, 2 Tm 3.52, 6 Pm 3.57-3.61, 3 Sm 3.63-3.64
10 Sm 0.5000 0.5000 0.5000  6 Sm 3.60, 6 Pm 3.63-3.64
11 Pm 0.0811 0.4118 0.2436  1 Sc 3.50, 2 Tm 3.52, 6 Pm 3.57-3.61, 3 Sm 3.63-3.64
12 Tm 0.3334 0.6666 0.0000  6 Pm 3.52, 3 Tm 3.60, 3 Sc 3.60

[8]
A relaxed structure of PmSm6Tm3Sc2, computed with PBE.

Computed properties:
Symmetry: C2/m, No. 12
Final energy, eV/atom: -4.892
Formation enthalpy at 0 K, meV/atom: 37

Unit cell a=6.1374 b=6.1374 c=11.6119 alpha=95.04 beta=95.04 gamma=119.99
Last column: nearest neighbours and their distance in Å.
Atoms (fractional coordinates):
1 Sc 0.6666 0.3334 0.0000  6 Sm 3.49, 3 Sc 3.54-3.55, 3 Pm 3.54
2 Sm 0.2540 0.2540 0.7525  2 Sc 3.49, 1 Pm 3.50, 3 Tm 3.53-3.55, 6 Sm 3.53-3.58
3 Tm 0.1669 0.8331 0.5000  6 Sm 3.52-3.55, 6 Tm 3.54-3.55
4 Tm 0.8331 0.1669 0.5000  6 Sm 3.52-3.55, 6 Tm 3.54-3.55
5 Sm 0.5808 0.9174 0.7524  2 Sc 3.49, 1 Pm 3.50, 3 Tm 3.52-3.54, 6 Sm 3.53-3.58
6 Sm 0.7460 0.7460 0.2475  2 Sc 3.49, 1 Pm 3.50, 3 Tm 3.53-3.55, 6 Sm 3.53-3.58
7 Tm 0.5000 0.5000 0.5000  6 Sm 3.53-3.54, 6 Tm 3.54-3.55
8 Sm 0.9174 0.5808 0.7524  2 Sc 3.49, 1 Pm 3.50, 3 Tm 3.52-3.54, 6 Sm 3.53-3.58
9 Sc 0.3334 0.6666 0.0000  6 Sm 3.49, 3 Sc 3.54-3.55, 3 Pm 3.54
10 Sm 0.0826 0.4192 0.2476  2 Sc 3.49, 1 Pm 3.50, 3 Tm 3.52-3.54, 6 Sm 3.53-3.58
11 Sm 0.4192 0.0826 0.2476  2 Sc 3.49, 1 Pm 3.50, 3 Tm 3.52-3.54, 6 Sm 3.53-3.58
12 Pm 0.0000 0.0000 0.0000  6 Sm 3.50, 6 Sc 3.54

[9]
A relaxed structure of Pm5SmTmSc2, computed with PBE.

Computed properties:
Symmetry: Cmc2_1, No. 36
Final energy, eV/atom: -4.903
Formation enthalpy at 0 K, meV/atom: 164

Unit cell a=5.6775 b=11.2656 c=9.4748 alpha=90.00 beta=90.00 gamma=104.59
Last column: nearest neighbours and their distance in Å.
Atoms (fractional coordinates):
1 Pm 0.3919 0.7839 0.0476  4 Sc 3.26-3.51, 2 Pm 3.28-3.61, 1 Tm 3.54
2 Pm 0.6960 0.3919 0.2155  5 Pm 3.40-3.76, 2 Sm 3.41, 1 Tm 3.52, 3 Sc 3.52-3.77
3 Tm 0.5982 0.1963 0.9203  3 Pm 3.07-3.41
4 Sc 0.1313 0.2625 0.7074  1 Sm 3.16, 2 Pm 3.26
5 Sc 0.8687 0.7375 0.2074  1 Sm 3.16, 2 Pm 3.26
6 Sc 0.1144 0.2289 0.3298  8 Pm 3.23-3.52, 1 Sm 3.30, 1 Sc 3.60
7 Pm 0.4674 0.9347 0.7476  5 Pm 3.28-3.66, 2 Tm 3.29-3.41, 2 Sc 3.44
8 Pm 0.5326 0.0653 0.2476  5 Pm 3.28-3.66, 2 Tm 3.29-3.41, 2 Sc 3.44
9 Pm 0.0114 0.0229 0.0088  1 Sc 3.23, 2 Tm 3.51
10 Pm 0.2669 0.5338 0.3277  1 Tm 3.07, 1 Sc 3.32, 2 Pm 3.40
11 Sm 0.1824 0.3647 0.0192  2 Sc 3.16-3.30, 3 Pm 3.41-3.46, 2 Tm 3.51
12 Pm 0.7331 0.4662 0.8277  1 Tm 3.07, 1 Sc 3.32, 2 Pm 3.40
13 Tm 0.4018 0.8037 0.4203  3 Pm 3.07-3.41
14 Sc 0.8856 0.7711 0.8298  8 Pm 3.23-3.52, 1 Sm 3.30, 1 Sc 3.60
15 Pm 0.6081 0.2161 0.5476  4 Sc 3.26-3.51, 2 Pm 3.28-3.61, 1 Tm 3.54
16 Pm 0.3040 0.6081 0.7155  5 Pm 3.40-3.76, 2 Sm 3.41, 1 Tm 3.52, 3 Sc 3.52-3.77
17 Sm 0.8176 0.6353 0.5192  2 Sc 3.16-3.30, 3 Pm 3.41-3.46, 2 Tm 3.51
18 Pm 0.9886 0.9771 0.5088  1 Sc 3.23, 2 Tm 3.51